The following is a GGA-PBE calculation of a relaxed structure of La2InGe2, from Alexandria.

abc: 7.753 7.753 4.431
angles: 90.00 90.00 90.00
Atoms (fractional coordinates):
Ge 0.616 0.116 0.000
Ge 0.384 0.884 0.000
La 0.320 0.180 0.500
In 0.500 0.500 0.000
Ge 0.116 0.384 0.000
Ge 0.884 0.616 0.000
La 0.180 0.680 0.500
La 0.820 0.320 0.500
In 0.000 0.000 0.000
La 0.680 0.820 0.500

## Properties
- E above lowest polymorph: 0.000 eV per atom
- SG: P4/mbm (127)
- Formation enthalpy at 0 K: -0.771 eV/atom